No. 1
The following is a DFT calculation (GGA-PBE) of crystalline Pr3Pt8Au at its relaxed geometry.

For the total energy, the calculation gives -230.78 eV for the cell shown. The calculation puts the formation energy at -908 meV/atom.

The space group is R3m (No. 160, hexagonal axes) and the conventional cell measures 5.4695, 5.4695 and 26.8764 Å, with angles of 90.00, 90.00 and 120.00 degrees. The asymmetric unit holds Pr at (0.0000, 0.0000, 0.0000), Pr at (0.0000, 0.0000, 0.1301), Pr at (0.0000, 0.0000, 0.5184), Pt at (0.0000, 0.0000, 0.3195), Pt at (0.0000, 0.0000, 0.8198), Pt at (0.9999, 0.5000, 0.0703), Pt at (0.1683, 0.3366, 0.9025) and Au at (0.0000, 0.0000, 0.6378).

---

No. 2
The following is a DFT calculation (GGA-PBE) of crystalline Pr3Si4Pt2Au2 at its relaxed geometry.

For the total energy, the calculation gives -129.62 eV for the cell shown.

The space group is Immm (No. 71) and the conventional cell measures 4.276, 4.295 and 24.776 Å, with angles of 90.00, 90.00 and 90.00 degrees. The asymmetric unit holds Pr at (0.000, 0.000, 0.000), Pr at (0.000, 0.500, 0.149), Si at (0.000, 0.000, 0.452), Si at (0.000, 0.500, 0.301), Pt at (0.000, 0.000, 0.249) and Au at (0.000, 0.500, 0.402).

---

No. 3
The following is a DFT calculation (GGA-PBE) of crystalline PrSnPtAu at its relaxed geometry.

For the total energy, the calculation gives -42.54 eV for the cell shown. The distance to the lowest polymorph of the same formula is 14.7 meV per atom.

The space group is P6_3mc (No. 186) and the conventional cell measures 4.7246, 4.7246 and 9.4004 Å, with angles of 90.00, 90.00 and 120.00 degrees. The asymmetric unit holds Pr at (0.3333, 0.6667, 0.0000), Sn at (0.0000, 0.0000, 0.2721), Pt at (0.3333, 0.6667, 0.3428) and Au at (0.3333, 0.6667, 0.6587).

---

No. 4
The following is a DFT calculation (GGA-PBE) of crystalline Pr2Sn2Pt3Au at its relaxed geometry.

For the total energy, the calculation gives -45.86 eV for the cell shown.

The space group is P3m1 (No. 156) and the conventional cell measures 4.6765, 4.6765 and 9.3980 Å, with angles of 90.00, 90.00 and 120.00 degrees. The asymmetric unit holds Pr at (0.0000, 0.0000, 0.0000), Pr at (0.3333, 0.6667, 0.4927), Sn at (0.6667, 0.3333, 0.2458), Sn at (0.6667, 0.3333, 0.7712), Pt at (0.0000, 0.0000, 0.3338), Pt at (0.3333, 0.6667, 0.1662), Pt at (0.3333, 0.6667, 0.8352) and Au at (0.0000, 0.0000, 0.6506).

---

No. 5
The following is a DFT calculation (GGA-PBE) of crystalline PrSnPtAu at its relaxed geometry.

For the total energy, the calculation gives -42.66 eV for the cell shown. The distance to the lowest polymorph of the same formula is 0.0 meV per atom.

The space group is P-3m1 (No. 164) and the conventional cell measures 4.7050, 4.7050 and 9.4929 Å, with angles of 90.00, 90.00 and 120.00 degrees. The asymmetric unit holds Pr at (0.3333, 0.6667, 0.2433), Sn at (0.0000, 0.0000, 0.0000), Sn at (0.0000, 0.0000, 0.5000), Pt at (0.3333, 0.6667, 0.9200) and Au at (0.3333, 0.6667, 0.6051).

---

No. 6
The following is a DFT calculation (GGA-PBE) of crystalline PrSnPtAu at its relaxed geometry.

For the total energy, the calculation gives -42.55 eV for the cell shown. The distance to the lowest polymorph of the same formula is 14.1 meV per atom.

The space group is P-6m2 (No. 187) and the conventional cell measures 4.7369, 4.7369 and 9.3353 Å, with angles of 90.00, 90.00 and 120.00 degrees. The asymmetric unit holds Pr at (0.0000, 0.0000, 0.0000), Pr at (0.3333, 0.6667, 0.5000), Sn at (0.6667, 0.3333, 0.2218), Pt at (0.3333, 0.6667, 0.1701) and Au at (0.0000, 0.0000, 0.3443).